{"formula": "FeP2IrS", "functional": "PBE", "state": "optimized geometry", "lattice_angstrom": [[4.208, 0.000, 0.000], [0.000, 4.208, 0.000], [0.000, 0.000, 4.387]], "species": ["P", "P", "S", "Ir", "Fe"], "frac_coords": [[0.000, 0.500, 0.000], [0.500, 0.000, 0.000], [0.000, 0.000, 0.500], [0.500, 0.500, 0.500], [0.000, 0.000, 0.000]], "total_magnetization_mub_per_fu": 0.0, "raw_formation_energy_ev_per_atom": 0.80, "relative_energy_ev_per_atom": 0.000}